(1)
An optimized crystal structure of Ir5C7, computed with GGA-PBE.

Properties
Energy of formation (eV/f.u.): 13.5
Raw total energy (eV for the cell shown): -95.39
SG: No. 107
Density of states at the Fermi level (states/eV/f.u.): 4.83

Structure (POSCAR):
```
Ir5C7
1.0
5.522 0.008 0.000
-2.835 4.738 0.000
-1.343 -2.373 4.802
C Ir
7 5
Direct
0.347 0.347 0.000 C
0.344 0.844 0.500 C
0.844 0.344 0.500 C
0.807 0.111 0.304 C
0.807 0.503 0.696 C
0.503 0.807 0.696 C
0.111 0.807 0.304 C
0.978 0.978 0.000 Ir
0.698 0.281 0.000 Ir
0.281 0.698 0.000 Ir
0.698 0.698 0.417 Ir
0.281 0.281 0.583 Ir
```

(2)
An optimized crystal structure of SrAgPb2, computed with GGA-PBE.

Properties
Energy of formation (eV/f.u.): -0.9
Raw total energy (eV for the cell shown): -12.83
SG: No. 123
Density of states at the Fermi level (states/eV/f.u.): 2.70

Structure (POSCAR):
```
SrAgPb2
1.0
-2.130 -4.311 0.751
1.762 -1.609 -4.242
4.021 -1.591 2.273
Ag Pb Sr
1 2 1
Direct
0.000 0.500 0.500 Ag
0.000 0.000 0.000 Pb
0.500 0.500 0.000 Pb
0.500 0.000 0.500 Sr
```

(3)
An optimized crystal structure of PmPrAl2, computed with GGA-PBE.

Properties
Energy of formation (eV/f.u.): -1.5
Raw total energy (eV for the cell shown): -36.95
SG: No. 63
Density of states at the Fermi level (states/eV/f.u.): 4.15

Structure (POSCAR):
```
PmPrAl2
1.0
4.647 0.000 0.000
-2.323 6.693 0.000
0.000 0.000 7.085
Pm Pr Al
2 2 4
Direct
0.223 0.447 0.250 Pm
0.777 0.553 0.750 Pm
0.941 0.882 0.250 Pr
0.059 0.118 0.750 Pr
0.404 0.809 0.936 Al
0.596 0.191 0.064 Al
0.596 0.191 0.436 Al
0.404 0.809 0.564 Al
```